(1)
The following is a DFT calculation (GGA-PBE) of a geometry-optimized Ca8In2Au structure.

The value obtained for the total magnetic moment is 0.000 μB per atom. The offset from the most stable computed form is 0 meV per atom. The formation enthalpy at 0 K comes out at -0.37 eV/atom.

The structure belongs to space group C2/m (No. 12); the cell edges are 18.899, 5.437 and 7.367 Å and the angles 90.00°, 108.98° and 90.00°. The inequivalent atoms are Ca at (0.023, 0.000, 0.288), Ca at (0.096, 0.500, 0.934), Ca at (0.157, 0.500, 0.454), Ca at (0.206, 0.000, 0.794), In at (0.180, 0.000, 0.205) and Au at (0.000, 0.500, 0.500).

---

(2)
The following is a DFT calculation (GGA-PBE) of a geometry-optimized KLiS2Cl structure.

The uncorrected formation energy is 0.1728 eV/atom. The value obtained for the total magnetic moment is 0.600 μB per atom. The offset from the most stable computed form is 663 meV per atom.

The structure belongs to space group P4/mmm (No. 123); the cell edges are 5.872, 5.872 and 5.794 Å and the angles 90.00°, 90.00° and 90.00°. The inequivalent atoms are K at (0.000, 0.000, 0.000), Li at (0.500, 0.500, 0.500), S at (0.000, 0.500, 0.000) and Cl at (0.000, 0.000, 0.500).

---

(3)
The following is a DFT calculation (GGA-PBE) of a geometry-optimized Pr2ThScS4 structure.

The uncorrected formation energy is -1.8986 eV/atom. The value obtained for the total magnetic moment is 0.000 μB per atom.

The structure belongs to space group P2/m (No. 10); the cell edges are 6.940, 3.961 and 6.953 Å and the angles 90.00°, 108.93° and 90.00°. The inequivalent atoms are Pr at (0.000, 0.000, 0.000), Pr at (0.000, 0.500, 0.500), Th at (0.500, 0.000, 0.500), Sc at (0.500, 0.500, 0.000), S at (0.264, 0.500, 0.240) and S at (0.275, 0.000, 0.771).

---

(4)
The following is a DFT calculation (GGA-PBE) of a geometry-optimized AsHIrOsAu structure.

The value obtained for the total magnetic moment is 0.000 μB per atom. The offset from the most stable computed form is 116 meV per atom.

The structure belongs to space group P1 (No. 1); the cell edges are 4.197, 4.199 and 4.597 Å and the angles 97.15°, 101.81° and 108.06°. The inequivalent atoms are As at (0.000, 0.000, 0.000), H at (0.814, 0.386, 0.486), Ir at (0.122, 0.579, 0.278), Os at (0.745, 0.949, 0.462) and Au at (0.470, 0.396, 0.793).

---

(5)
The following is a DFT calculation (GGA-PBE) of a geometry-optimized CoNiH6Pb structure.

The value obtained for the total magnetic moment is 0.067 μB per atom. The final energy is -71.6 eV/cell.

The structure belongs to space group C2 (No. 5); the cell edges are 4.529, 7.852 and 4.576 Å and the angles 90.00°, 90.09° and 90.00°. The inequivalent atoms are Co at (0.000, 0.000, 0.000), Ni at (0.000, 0.667, 0.000), H at (0.044, 0.837, 0.791), H at (0.223, 0.103, 0.791), H at (0.233, 0.560, 0.791) and Pb at (0.000, 0.334, 0.500).

---

(6)
The following is a DFT calculation (GGA-PBE) of a geometry-optimized BaSr4Ge4 structure.

The value obtained for the total magnetic moment is 0.000 μB per atom. The formation enthalpy at 0 K comes out at -0.43 eV/atom.

The structure belongs to space group P4_2/n (No. 86, origin choice 2); the cell edges are 10.179, 10.179 and 6.341 Å and the angles 90.00°, 90.00° and 90.00°. The inequivalent atoms are Ba at (0.250, 0.250, 0.250), Sr at (0.085, 0.649, 0.123) and Ge at (0.031, 0.597, 0.618).